Version one
VASP calculation (GGA-PBEsol) on a relaxed structure of YW2Cl.

## Properties
crystal system = orthorhombic

```
data_YW2Cl
_cell_length_a 3.126
_cell_length_b 4.237
_cell_length_c 5.679
_cell_angle_alpha 90.00
_cell_angle_beta 90.00
_cell_angle_gamma 90.00
_space_group_name_H-M_alt 'P m m m'
_space_group_IT_number 47
loop_
_space_group_symop_operation_xyz
'x,y,z'
'-x,-y,-z'
'-x,-y,z'
'x,y,-z'
'x,-y,-z'
'-x,y,z'
'-x,y,-z'
'x,-y,z'
loop_
_atom_site_label
_atom_site_type_symbol
_atom_site_fract_x
_atom_site_fract_y
_atom_site_fract_z
Y1 Y 0.000 0.000 0.000
W1 W 0.000 0.500 0.500
W2 W 0.500 0.000 0.500
Cl1 Cl 0.500 0.500 0.000
```



Version two
VASP calculation (GGA-PBEsol) on a relaxed structure of YW2Cl.

## Properties
crystal system = tetragonal

```
data_YW2Cl
_cell_length_a 3.216
_cell_length_b 3.216
_cell_length_c 8.050
_cell_angle_alpha 90.00
_cell_angle_beta 90.00
_cell_angle_gamma 90.00
_space_group_name_H-M_alt 'P 4 m m'
_space_group_IT_number 99
loop_
_space_group_symop_operation_xyz
'x,y,z'
'-y,x,z'
'-x,-y,z'
'y,-x,z'
'-x,y,z'
'y,x,z'
'x,-y,z'
'-y,-x,z'
loop_
_atom_site_label
_atom_site_type_symbol
_atom_site_fract_x
_atom_site_fract_y
_atom_site_fract_z
Y1 Y 0.000 0.000 0.000
W1 W 0.000 0.000 0.588
W2 W 0.500 0.500 0.739
Cl1 Cl 0.500 0.500 0.223
```



So which one wins? Going from most stable to least: version two, version one.



Version one
VASP calculation (GGA-PBEsol) on a relaxed structure of YW2Cl.

## Properties
crystal system = orthorhombic

```
data_YW2Cl
_cell_length_a 3.168
_cell_length_b 3.261
_cell_length_c 14.972
_cell_angle_alpha 90.00
_cell_angle_beta 90.00
_cell_angle_gamma 90.00
_space_group_name_H-M_alt 'A m m 2'
_space_group_IT_number 38
loop_
_space_group_symop_operation_xyz
'x,y,z'
'-x,-y,z'
'-x,y,z'
'x,-y,z'
'x,y+1/2,z+1/2'
'-x,-y+1/2,z+1/2'
'-x,y+1/2,z+1/2'
'x,-y+1/2,z+1/2'
loop_
_atom_site_label
_atom_site_type_symbol
_atom_site_fract_x
_atom_site_fract_y
_atom_site_fract_z
Y1 Y 0.000 0.000 0.000
W1 W 0.000 0.000 0.221
W2 W 0.500 0.000 0.635
Cl1 Cl 0.500 0.000 0.368
```



Version two
VASP calculation (GGA-PBEsol) on a relaxed structure of YW2Cl.

## Properties
crystal system = orthorhombic

```
data_YW2Cl
_cell_length_a 3.076
_cell_length_b 4.251
_cell_length_c 11.886
_cell_angle_alpha 90.00
_cell_angle_beta 90.00
_cell_angle_gamma 90.00
_space_group_name_H-M_alt 'I m m m'
_space_group_IT_number 71
_space_group_name_Hall '-I 2 2'
loop_
_atom_site_label
_atom_site_type_symbol
_atom_site_fract_x
_atom_site_fract_y
_atom_site_fract_z
Y1 Y 0.000 0.000 0.000
W1 W 0.000 0.500 0.260
Cl1 Cl 0.000 0.000 0.500
```



So which one wins? Going from most stable to least: version one, version two.



Version one
VASP calculation (GGA-PBEsol) on a relaxed structure of YWCl2.

## Properties
crystal system = orthorhombic

```
data_YWCl2
_cell_length_a 3.080
_cell_length_b 4.634
_cell_length_c 10.218
_cell_angle_alpha 90.00
_cell_angle_beta 90.00
_cell_angle_gamma 90.00
_space_group_name_H-M_alt 'I m m 2'
_space_group_IT_number 44
loop_
_space_group_symop_operation_xyz
'x,y,z'
'-x,-y,z'
'-x,y,z'
'x,-y,z'
'x+1/2,y+1/2,z+1/2'
'-x+1/2,-y+1/2,z+1/2'
'-x+1/2,y+1/2,z+1/2'
'x+1/2,-y+1/2,z+1/2'
loop_
_atom_site_label
_atom_site_type_symbol
_atom_site_fract_x
_atom_site_fract_y
_atom_site_fract_z
Y1 Y 0.000 0.000 0.000
W1 W 0.000 0.500 0.232
Cl1 Cl 0.000 0.000 0.532
Cl2 Cl 0.000 0.500 0.738
```



Version two
VASP calculation (GGA-PBEsol) on a relaxed structure of YWCl2.

## Properties
crystal system = trigonal

```
data_YWCl2
_cell_length_a 3.3590
_cell_length_b 3.3590
_cell_length_c 26.7764
_cell_angle_alpha 90.00
_cell_angle_beta 90.00
_cell_angle_gamma 120.00
_space_group_name_H-M_alt 'R 3 m'
_space_group_IT_number 160
_space_group_name_Hall 'R 3 -2"'
loop_
_atom_site_label
_atom_site_type_symbol
_atom_site_fract_x
_atom_site_fract_y
_atom_site_fract_z
Y1 Y 0.0000 0.0000 0.0000
W1 W 0.0000 0.0000 0.7558
Cl1 Cl 0.0000 0.0000 0.2641
Cl2 Cl 0.0000 0.0000 0.4770
```



So which one wins? Going from most stable to least: version two, version one.



Version one
VASP calculation (GGA-PBEsol) on a relaxed structure of ZrWCl.

## Properties
crystal system = cubic

```
data_ZrWCl
_cell_length_a 6.316
_cell_length_b 6.316
_cell_length_c 6.316
_cell_angle_alpha 90.00
_cell_angle_beta 90.00
_cell_angle_gamma 90.00
_space_group_name_H-M_alt 'F -4 3 m'
_space_group_IT_number 216
_space_group_name_Hall 'F -4 2 3'
loop_
_atom_site_label
_atom_site_type_symbol
_atom_site_fract_x
_atom_site_fract_y
_atom_site_fract_z
Zr1 Zr 0.000 0.000 0.000
W1 W 0.250 0.250 0.750
Cl1 Cl 0.250 0.250 0.250
```



Version two
VASP calculation (GGA-PBEsol) on a relaxed structure of ZrWCl.

## Properties
crystal system = tetragonal

```
data_ZrWCl
_cell_length_a 2.855
_cell_length_b 2.855
_cell_length_c 15.215
_cell_angle_alpha 90.00
_cell_angle_beta 90.00
_cell_angle_gamma 90.00
_space_group_name_H-M_alt 'I 4 m m'
_space_group_IT_number 107
_space_group_name_Hall 'I 4 -2'
loop_
_atom_site_label
_atom_site_type_symbol
_atom_site_fract_x
_atom_site_fract_y
_atom_site_fract_z
Zr1 Zr 0.000 0.000 0.000
W1 W 0.000 0.000 0.354
Cl1 Cl 0.000 0.000 0.614
```



So which one wins? Going from most stable to least: version two, version one.



Version one
VASP calculation (GGA-PBEsol) on a relaxed structure of Zr2WCl.

## Properties
crystal system = tetragonal

```
data_Zr2WCl
_cell_length_a 3.224
_cell_length_b 3.224
_cell_length_c 7.619
_cell_angle_alpha 90.00
_cell_angle_beta 90.00
_cell_angle_gamma 90.00
_space_group_name_H-M_alt 'P 4/m m m'
_space_group_IT_number 123
_space_group_name_Hall '-P 4 2'
loop_
_atom_site_label
_atom_site_type_symbol
_atom_site_fract_x
_atom_site_fract_y
_atom_site_fract_z
Zr1 Zr 0.000 0.000 0.213
W1 W 0.500 0.500 0.000
Cl1 Cl 0.500 0.500 0.500
```



Version two
VASP calculation (GGA-PBEsol) on a relaxed structure of Zr2WCl.

## Properties
crystal system = orthorhombic

```
data_Zr2WCl
_cell_length_a 6.384
_cell_length_b 7.242
_cell_length_c 3.157
_cell_angle_alpha 90.00
_cell_angle_beta 90.00
_cell_angle_gamma 90.00
_space_group_name_H-M_alt 'C m m m'
_space_group_IT_number 65
_space_group_name_Hall '-C 2 2'
loop_
_atom_site_label
_atom_site_type_symbol
_atom_site_fract_x
_atom_site_fract_y
_atom_site_fract_z
Zr1 Zr 0.250 0.250 0.000
W1 W 0.000 0.000 0.500
Cl1 Cl 0.000 0.500 0.500
```



Version three
VASP calculation (GGA-PBEsol) on a relaxed structure of Zr2WCl.

## Properties
crystal system = orthorhombic

```
data_Zr2WCl
_cell_length_a 3.330
_cell_length_b 4.929
_cell_length_c 9.755
_cell_angle_alpha 90.00
_cell_angle_beta 90.00
_cell_angle_gamma 90.00
_space_group_name_H-M_alt 'C m m 2'
_space_group_IT_number 35
loop_
_space_group_symop_operation_xyz
'x,y,z'
'-x,-y,z'
'-x,y,z'
'x,-y,z'
'x+1/2,y+1/2,z'
'-x+1/2,-y+1/2,z'
'-x+1/2,y+1/2,z'
'x+1/2,-y+1/2,z'
loop_
_atom_site_label
_atom_site_type_symbol
_atom_site_fract_x
_atom_site_fract_y
_atom_site_fract_z
Zr1 Zr 0.000 0.000 0.000
Zr2 Zr 0.000 0.500 0.268
W1 W 0.000 0.000 0.485
Cl1 Cl 0.000 0.500 0.801
```



Version four
VASP calculation (GGA-PBEsol) on a relaxed structure of Zr2WCl.

## Properties
crystal system = monoclinic

```
data_Zr2WCl
_cell_length_a 5.570
_cell_length_b 3.000
_cell_length_c 9.260
_cell_angle_alpha 90.00
_cell_angle_beta 96.39
_cell_angle_gamma 90.00
_space_group_name_H-M_alt 'C 1 m 1'
_space_group_IT_number 8
loop_
_space_group_symop_operation_xyz
'x,y,z'
'x,-y,z'
'x+1/2,y+1/2,z'
'x+1/2,-y+1/2,z'
loop_
_atom_site_label
_atom_site_type_symbol
_atom_site_fract_x
_atom_site_fract_y
_atom_site_fract_z
Zr1 Zr 0.000 0.000 0.000
Zr2 Zr 0.212 0.500 0.714
W1 W 0.405 0.000 0.479
Cl1 Cl 0.362 0.000 0.202
```



So which one wins? Going from most stable to least: version one, version four, version two, version three.



Version one
VASP calculation (GGA-PBEsol) on a relaxed structure of YZr2Cl.

## Properties
crystal system = orthorhombic

```
data_YZr2Cl
_cell_length_a 3.175
_cell_length_b 5.731
_cell_length_c 9.997
_cell_angle_alpha 90.00
_cell_angle_beta 90.00
_cell_angle_gamma 90.00
_space_group_name_H-M_alt 'I m m 2'
_space_group_IT_number 44
loop_
_space_group_symop_operation_xyz
'x,y,z'
'-x,-y,z'
'-x,y,z'
'x,-y,z'
'x+1/2,y+1/2,z+1/2'
'-x+1/2,-y+1/2,z+1/2'
'-x+1/2,y+1/2,z+1/2'
'x+1/2,-y+1/2,z+1/2'
loop_
_atom_site_label
_atom_site_type_symbol
_atom_site_fract_x
_atom_site_fract_y
_atom_site_fract_z
Y1 Y 0.000 0.000 0.000
Zr1 Zr 0.000 0.000 0.567
Zr2 Zr 0.000 0.500 0.804
Cl1 Cl 0.000 0.500 0.275
```



Version two
VASP calculation (GGA-PBEsol) on a relaxed structure of YZr2Cl.

## Properties
crystal system = orthorhombic

```
data_YZr2Cl
_cell_length_a 3.258
_cell_length_b 5.348
_cell_length_c 5.433
_cell_angle_alpha 90.00
_cell_angle_beta 90.00
_cell_angle_gamma 90.00
_space_group_name_H-M_alt 'P m m m'
_space_group_IT_number 47
loop_
_space_group_symop_operation_xyz
'x,y,z'
'-x,-y,-z'
'-x,-y,z'
'x,y,-z'
'x,-y,-z'
'-x,y,z'
'-x,y,-z'
'x,-y,z'
loop_
_atom_site_label
_atom_site_type_symbol
_atom_site_fract_x
_atom_site_fract_y
_atom_site_fract_z
Y1 Y 0.000 0.000 0.000
Zr1 Zr 0.500 0.500 0.237
Cl1 Cl 0.000 0.000 0.500
```



So which one wins? Going from most stable to least: version one, version two.